Hf3Ti6Pb: relaxed, PBE.

POSCAR file:
```
Hf3Ti6Pb
1.0
-5.5693 -5.5759 1.6354
3.2266 -0.8309 -5.0490
4.3467 0.7456 4.1405
Ti Hf Pb
6 3 1
direct
0.8776 0.0000 0.4994
0.3782 0.5006 0.5006
0.6323 0.6727 0.0000
0.6323 0.0000 0.6727
0.8776 0.4994 0.0000
0.9596 0.3273 0.3273
0.6657 0.4020 0.4020
0.2637 0.5980 0.0000
0.2637 0.0000 0.5980
0.1104 0.0000 0.0000
```

Computed properties:
- DOS at the Fermi energy: 14.2 states/eV/f.u.
- E_form: 0.58 eV/atom
- Space-group type: No. 160
- Raw total energy: -75.16 eV/cell